(1)
MnBeHg PBE-GGA relaxed; energy above the lowest structure with this stoichiometry = 0 meV per atom; SG = I4mm (107)
1.0
-5.145 2.295 0.447
-5.177 0.095 2.264
0.207 1.812 2.195
Hg Be Mn
1 1 1
Direct
0.342 0.342 0.658 Hg
0.018 0.018 0.982 Be
0.640 0.640 0.360 Mn

---

(2)
MnBe4Hg PBE-GGA relaxed; SG = F-43m (216)
1.0
0.000 3.182 3.182
3.182 0.000 3.182
3.182 3.182 0.000
Be Mn Hg
4 1 1
Direct
0.372 0.885 0.372 Be
0.885 0.372 0.372 Be
0.372 0.372 0.372 Be
0.372 0.372 0.885 Be
0.000 0.000 0.000 Mn
0.750 0.750 0.750 Hg

---

(3)
MnBeHg4 PBE-GGA relaxed; SG = F-43m (216)
1.0
0.000 4.093 4.093
4.093 0.000 4.093
4.093 4.093 0.000
Mn Hg Be
1 4 1
Direct
0.750 0.750 0.750 Mn
0.375 0.375 0.375 Hg
0.375 0.375 0.875 Hg
0.875 0.375 0.375 Hg
0.375 0.875 0.375 Hg
0.000 0.000 0.000 Be

---

no.,formation energy (kcal/mol of atoms),total moment (μB/f.u.)
1,7.4,2.9
2,3.4,2.8
3,18.7,4.4